Here is an optimized crystal structure of Tb2Pr3YEr6 from Alexandria via LeMat-Bulk. Energies are from PBE.

```
Tb2Pr3YEr6
1.0
-4.2062 3.1899 3.2548
-1.2895 -1.8201 -5.7867
-2.5371 -10.3874 4.9372
Tb Pr Y Er
2 3 1 6
direct
0.3334 0.6666 0.0000 Tb
0.6666 0.3334 0.0000 Tb
0.1666 0.8334 0.5000 Pr
0.8334 0.1666 0.5000 Pr
0.5000 0.5000 0.5000 Pr
0.0000 0.0000 0.0000 Y
0.9177 0.5837 0.7536 Er
0.7483 0.7483 0.2464 Er
0.0823 0.4163 0.2464 Er
0.5837 0.9177 0.7536 Er
0.2517 0.2517 0.7536 Er
0.4163 0.0823 0.2464 Er
```

Properties
As for the symmetry: C2/m. Its density is 7.879 g/cm³. The total energy is -4.77 eV/atom.

***

Here is an optimized crystal structure of TbPrYEr from Alexandria via LeMat-Bulk. Energies are from PBE.

```
TbPrYEr
1.0
3.4483 0.0000 0.0000
0.0000 6.5440 1.7085
0.0000 -1.4323 5.4920
Tb Pr Y Er
1 1 1 1
direct
0.0000 0.1960 0.0164 Tb
0.0000 0.4501 0.5159 Pr
0.0000 0.9345 0.5166 Y
0.5000 0.6998 0.0163 Er
```

Properties
As for the symmetry: Pmm2. Its density is 6.975 g/cm³. Its energy above the lowest structure with this stoichiometry is 0.060 eV per atom.

***

Here is an optimized crystal structure of Tb4Pr2YEr2 from Alexandria via LeMat-Bulk. Energies are from PBE.

```
Tb4Pr2YEr2
1.0
-4.1208 -2.7110 -4.7569
-4.0097 -9.0062 1.2667
-1.4210 4.9970 4.1391
Tb Pr Y Er
4 2 1 2
direct
0.7392 0.8835 0.1986 Tb
0.6142 0.7621 0.5047 Tb
0.2608 0.1165 0.8014 Tb
0.3858 0.2379 0.4953 Tb
0.2675 0.6571 0.6009 Pr
0.7325 0.3429 0.3991 Pr
0.0000 0.0000 0.0000 Y
0.8221 0.4457 0.0375 Er
0.1779 0.5543 0.9625 Er
```

Properties
As for the symmetry: P-1. Its density is 7.528 g/cm³. The total energy is -4.77 eV/atom.

***

Here is an optimized crystal structure of TbPr6Y2Er3 from Alexandria via LeMat-Bulk. Energies are from PBE.

```
TbPr6Y2Er3
1.0
-5.9491 -2.0181 -0.5372
3.4761 0.9760 -5.1689
4.5407 -10.7225 2.3086
Tb Pr Y Er
1 6 2 3
direct
0.0000 0.0000 0.0000 Tb
0.9160 0.5834 0.7481 Pr
0.7513 0.7513 0.2518 Pr
0.0840 0.4166 0.2519 Pr
0.5834 0.9160 0.7481 Pr
0.2487 0.2487 0.7482 Pr
0.4166 0.0840 0.2519 Pr
0.3334 0.6666 0.0000 Y
0.6666 0.3334 0.0000 Y
0.1666 0.8334 0.5000 Er
0.8334 0.1666 0.5000 Er
0.5000 0.5000 0.5000 Er
```

Properties
As for the symmetry: C2/m. Its density is 6.951 g/cm³. The total energy is -4.98 eV/atom.

***

Here is an optimized crystal structure of TbPr3Y6Er2 from Alexandria via LeMat-Bulk. Energies are from PBE.

```
TbPr3Y6Er2
1.0
-4.9829 -1.7342 -3.3235
-0.2802 0.0692 6.2288
-1.9220 11.6530 -1.2538
Tb Pr Y Er
1 3 6 2
direct
0.0000 0.0000 0.0000 Tb
0.1668 0.8332 0.5000 Pr
0.8332 0.1668 0.5000 Pr
0.5000 0.5000 0.5000 Pr
0.9182 0.5846 0.7546 Y
0.7482 0.7482 0.2455 Y
0.0818 0.4154 0.2454 Y
0.5846 0.9182 0.7546 Y
0.2518 0.2518 0.7545 Y
0.4154 0.0818 0.2454 Y
0.3333 0.6667 0.0000 Er
0.6667 0.3333 0.0000 Er
```

Properties
As for the symmetry: C2/m. Its density is 6.111 g/cm³. The total energy is -5.55 eV/atom.

***

Here is an optimized crystal structure of TbPr2Y3Er6 from Alexandria via LeMat-Bulk. Energies are from PBE.

```
TbPr2Y3Er6
1.0
-2.8936 -2.1348 5.0188
3.9623 -3.6225 -3.0490
8.3173 5.7983 5.9987
Tb Pr Y Er
1 2 3 6
direct
0.0000 0.0000 0.0000 Tb
0.3333 0.6667 0.0000 Pr
0.6667 0.3333 0.0000 Pr
0.1665 0.8335 0.5000 Y
0.8335 0.1665 0.5000 Y
0.5000 0.5000 0.5000 Y
0.9153 0.5826 0.7479 Er
0.7523 0.7523 0.2522 Er
0.0847 0.4174 0.2521 Er
0.5826 0.9153 0.7479 Er
0.2477 0.2477 0.7478 Er
0.4174 0.0847 0.2521 Er
```

Properties
As for the symmetry: C2/m. Its density is 7.416 g/cm³. The total energy is -5.06 eV/atom.

***

Here is an optimized crystal structure of Tb2PrY4Er2 from Alexandria via LeMat-Bulk. Energies are from PBE.

```
Tb2PrY4Er2
1.0
3.6034 0.0000 0.0000
-1.8017 9.3356 -0.5054
0.0000 -3.6810 8.8358
Tb Pr Y Er
2 1 4 2
direct
0.8514 0.7029 0.3324 Tb
0.1486 0.2971 0.6676 Tb
0.0000 0.0000 0.0000 Pr
0.8139 0.6279 0.6657 Y
0.1861 0.3721 0.3343 Y
0.5189 0.0379 0.3361 Y
0.4811 0.9621 0.6639 Y
0.3316 0.6633 0.9999 Er
0.6684 0.3367 0.0001 Er
```

Properties
As for the symmetry: C2/m. Its density is 6.566 g/cm³. The total energy is -5.45 eV/atom.

***

Here is an optimized crystal structure of TbPr2YEr6 from Alexandria via LeMat-Bulk. Energies are from PBE.

```
TbPr2YEr6
1.0
-6.0537 -0.8549 -7.5286
6.7290 -3.8877 -4.0392
-4.9142 -4.8066 5.4274
Tb Pr Y Er
2 4 2 12
direct
0.2500 0.4059 0.5941 Tb
0.7500 0.5941 0.4059 Tb
0.4575 0.8080 0.7025 Pr
0.0425 0.2975 0.1920 Pr
0.5425 0.1920 0.2975 Pr
0.9575 0.7025 0.8080 Pr
0.2500 0.9826 0.0174 Y
0.7500 0.0174 0.9826 Y
0.0572 0.1254 0.7423 Er
0.4428 0.2577 0.8746 Er
0.9428 0.8746 0.2577 Er
0.5572 0.7423 0.1254 Er
0.3129 0.9753 0.4232 Er
0.1871 0.5768 0.0247 Er
0.6871 0.0247 0.5768 Er
0.8129 0.4232 0.9753 Er
0.1189 0.7079 0.4974 Er
0.3811 0.5026 0.2921 Er
0.8811 0.2921 0.5026 Er
0.6189 0.4974 0.7079 Er
```

Properties
As for the symmetry: C2/c. Its density is 7.872 g/cm³. The total energy is -4.69 eV/atom.

***

Here is an optimized crystal structure of Tb6Pr3YEr2 from Alexandria via LeMat-Bulk. Energies are from PBE.

```
Tb6Pr3YEr2
1.0
6.2274 -0.0004 0.0055
-3.1126 5.3938 0.0055
-1.0469 -1.8127 11.7123
Tb Pr Y Er
6 3 1 2
direct
0.9179 0.5836 0.7551 Tb
0.7478 0.7478 0.2449 Tb
0.0821 0.4164 0.2449 Tb
0.5836 0.9179 0.7551 Tb
0.2522 0.2522 0.7551 Tb
0.4164 0.0821 0.2449 Tb
0.1667 0.8333 0.5000 Pr
0.8333 0.1667 0.5000 Pr
0.5000 0.5000 0.5000 Pr
0.0000 0.0000 0.0000 Y
0.3333 0.6667 0.0000 Er
0.6667 0.3333 0.0000 Er
```

Properties
As for the symmetry: C2/m. Its density is 7.594 g/cm³. The total energy is -4.79 eV/atom.

***

Here is an optimized crystal structure of Tb2Pr6YEr3 from Alexandria via LeMat-Bulk. Energies are from PBE.

```
Tb2Pr6YEr3
1.0
-1.5221 -0.3351 -6.1085
-4.3155 -1.3241 4.4006
-1.3056 11.7766 0.7613
Tb Pr Y Er
2 6 1 3
direct
0.3333 0.6667 0.0000 Tb
0.6667 0.3333 0.0000 Tb
0.9160 0.5819 0.7484 Pr
0.7500 0.7500 0.2518 Pr
0.0840 0.4181 0.2516 Pr
0.5819 0.9160 0.7484 Pr
0.2500 0.2500 0.7482 Pr
0.4181 0.0840 0.2516 Pr
0.0000 0.0000 0.0000 Y
0.1667 0.8333 0.5000 Er
0.8333 0.1667 0.5000 Er
0.5000 0.5000 0.5000 Er
```

Properties
As for the symmetry: C2/m. Its density is 7.241 g/cm³. The total energy is -4.83 eV/atom.

***

Here is an optimized crystal structure of TbPr2YEr2 from Alexandria via LeMat-Bulk. Energies are from PBE.

```
TbPr2YEr2
1.0
-5.3380 -1.6228 -1.0485
1.8797 -6.7525 0.8813
-2.0868 0.6703 9.5869
Tb Pr Y Er
2 4 2 4
direct
0.5000 0.2572 0.6600 Tb
0.5000 0.7572 0.3400 Tb
0.5000 0.0079 0.0001 Pr
0.0000 0.2580 0.1763 Pr
0.5000 0.5079 0.9999 Pr
0.0000 0.7580 0.8237 Pr
0.0000 0.0073 0.4999 Y
0.0000 0.5073 0.5001 Y
0.0000 0.2580 0.8356 Er
0.5000 0.2572 0.3331 Er
0.0000 0.7580 0.1644 Er
0.5000 0.7572 0.6669 Er
```

Properties
As for the symmetry: Pmc2_1. Its density is 7.277 g/cm³. The total energy is -4.90 eV/atom.

***

Here is an optimized crystal structure of TbPr2YEr5 from Alexandria via LeMat-Bulk. Energies are from PBE.

```
TbPr2YEr5
1.0
-1.3772 5.4635 6.5202
1.5698 -6.3284 5.6343
7.5186 2.3344 -6.0626
Tb Pr Y Er
2 4 2 10
direct
0.2500 0.2500 0.5000 Tb
0.7500 0.7500 0.5000 Tb
0.1182 0.3818 0.0000 Pr
0.6182 0.1182 0.0000 Pr
0.3818 0.8818 0.0000 Pr
0.8818 0.6182 0.0000 Pr
0.2500 0.7500 0.5000 Y
0.7500 0.2500 0.5000 Y
0.9270 0.4270 0.2818 Er
0.6452 0.1452 0.7182 Er
0.0730 0.5730 0.7182 Er
0.1452 0.0730 0.7182 Er
0.5730 0.6452 0.7182 Er
0.8548 0.9270 0.2818 Er
0.4270 0.3548 0.2818 Er
0.3548 0.8548 0.2818 Er
0.5000 0.5000 0.0000 Er
0.0000 0.0000 0.0000 Er
```

Properties
As for the symmetry: I4/mcm. Its density is 7.783 g/cm³. The total energy is -4.56 eV/atom.

***

Here is an optimized crystal structure of TbPrY2Er from Alexandria via LeMat-Bulk. Energies are from PBE.

```
TbPrY2Er
1.0
7.2342 0.0000 0.0000
0.0000 8.4511 0.0000
0.0000 -4.2256 5.7581
Tb Pr Y Er
2 2 4 2
direct
0.2500 0.9973 0.9945 Tb
0.7500 0.0027 0.0055 Tb
0.2500 0.7296 0.4592 Pr
0.7500 0.2704 0.5408 Pr
0.5000 0.3101 0.0000 Y
0.0000 0.6899 0.0000 Y
0.5000 0.6899 0.0000 Y
0.0000 0.3101 0.0000 Y
0.7500 0.7241 0.4483 Er
0.2500 0.2759 0.5517 Er
```

Properties
As for the symmetry: Cmcm. Its density is 6.084 g/cm³. The total energy is -5.00 eV/atom.

***

Here is an optimized crystal structure of Tb2Pr4Y2Er from Alexandria via LeMat-Bulk. Energies are from PBE.

```
Tb2Pr4Y2Er
1.0
5.1312 0.0000 0.0000
-2.5656 7.7108 0.0110
0.0000 -2.5826 7.6727
Tb Pr Y Er
2 4 2 1
direct
0.8891 0.7781 0.3304 Tb
0.1109 0.2219 0.6696 Tb
0.7773 0.5547 0.6673 Pr
0.2227 0.4453 0.3327 Pr
0.5541 0.1081 0.3317 Pr
0.4459 0.8919 0.6683 Pr
0.3334 0.6669 0.0004 Y
0.6666 0.3331 0.9996 Y
0.0000 0.0000 0.0000 Er
```

Properties
As for the symmetry: C2/m. Its density is 6.706 g/cm³. The total energy is -5.08 eV/atom.

***

Here is an optimized crystal structure of Tb2PrYEr6 from Alexandria via LeMat-Bulk. Energies are from PBE.

```
Tb2PrYEr6
1.0
-7.9425 1.2044 -5.1251
2.8774 -6.6342 -4.9555
-4.3554 -1.9359 7.3574
Tb Pr Y Er
4 2 2 12
direct
0.4544 0.8026 0.6965 Tb
0.0456 0.3035 0.1974 Tb
0.5456 0.1974 0.3035 Tb
0.9544 0.6965 0.8026 Tb
0.2500 0.9754 0.0246 Pr
0.7500 0.0246 0.9754 Pr
0.2500 0.4089 0.5911 Y
0.7500 0.5911 0.4089 Y
0.0576 0.1243 0.7474 Er
0.4424 0.2526 0.8757 Er
0.9424 0.8757 0.2526 Er
0.5576 0.7474 0.1243 Er
0.3177 0.9791 0.4326 Er
0.1823 0.5674 0.0209 Er
0.6823 0.0209 0.5674 Er
0.8177 0.4326 0.9791 Er
0.1187 0.7086 0.4914 Er
0.3813 0.5086 0.2914 Er
0.8813 0.2914 0.5086 Er
0.6187 0.4914 0.7086 Er
```

Properties
As for the symmetry: C2/c. Its density is 8.037 g/cm³. The total energy is -4.67 eV/atom.

***

Here is an optimized crystal structure of TbPr2Y5Er from Alexandria via LeMat-Bulk. Energies are from PBE.

```
TbPr2Y5Er
1.0
8.6729 0.0000 0.0000
0.0000 8.6729 0.0000
-4.3364 -4.3364 7.9116
Tb Pr Y Er
2 4 10 2
direct
0.2500 0.2500 0.5000 Tb
0.7500 0.7500 0.5000 Tb
0.1181 0.3819 0.0000 Pr
0.6181 0.1181 0.0000 Pr
0.3819 0.8819 0.0000 Pr
0.8819 0.6181 0.0000 Pr
0.9282 0.4282 0.2807 Y
0.6475 0.1475 0.7193 Y
0.0718 0.5718 0.7193 Y
0.1475 0.0718 0.7193 Y
0.5718 0.6475 0.7193 Y
0.8525 0.9282 0.2807 Y
0.4282 0.3525 0.2807 Y
0.3525 0.8525 0.2807 Y
0.5000 0.5000 0.0000 Y
0.0000 0.0000 0.0000 Y
0.2500 0.7500 0.5000 Er
0.7500 0.2500 0.5000 Er
```

Properties
As for the symmetry: I4/mcm. Its density is 5.874 g/cm³. The total energy is -5.42 eV/atom.

***

Here is an optimized crystal structure of TbPr3Y2Er6 from Alexandria via LeMat-Bulk. Energies are from PBE.

```
TbPr3Y2Er6
1.0
-0.9013 5.8935 -1.7130
-2.7189 -2.1864 5.1291
10.4233 2.0010 5.1320
Tb Pr Y Er
1 3 2 6
direct
0.0000 0.0000 0.0000 Tb
0.1667 0.8333 0.5000 Pr
0.8333 0.1667 0.5000 Pr
0.5000 0.5000 0.5000 Pr
0.3333 0.6667 0.0000 Y
0.6667 0.3333 0.0000 Y
0.9176 0.5849 0.7535 Er
0.7497 0.7497 0.2465 Er
0.0824 0.4151 0.2465 Er
0.5849 0.9176 0.7535 Er
0.2503 0.2503 0.7535 Er
0.4151 0.0824 0.2465 Er
```

Properties
As for the symmetry: C2/m. Its density is 7.566 g/cm³. The total energy is -4.92 eV/atom.

***

Here is an optimized crystal structure of Tb3PrY2Er6 from Alexandria via LeMat-Bulk. Energies are from PBE.

```
Tb3PrY2Er6
1.0
-1.0616 1.6224 5.8295
-4.6610 -0.3386 -3.9878
0.3088 -11.5400 2.1919
Tb Pr Y Er
3 1 2 6
direct
0.1670 0.8330 0.5000 Tb
0.8330 0.1670 0.5000 Tb
0.5000 0.5000 0.5000 Tb
0.0000 0.0000 0.0000 Pr
0.3333 0.6667 0.0000 Y
0.6667 0.3333 0.0000 Y
0.9154 0.5820 0.7480 Er
0.7510 0.7510 0.2519 Er
0.0846 0.4180 0.2520 Er
0.5820 0.9154 0.7480 Er
0.2490 0.2490 0.7481 Er
0.4180 0.0846 0.2520 Er
```

Properties
As for the symmetry: C2/m. Its density is 7.895 g/cm³. The total energy is -4.89 eV/atom.

***

Here is an optimized crystal structure of Tb2Pr2Y4Er from Alexandria via LeMat-Bulk. Energies are from PBE.

```
Tb2Pr2Y4Er
1.0
-1.4447 0.6738 3.2592
6.7701 -6.3701 2.2985
2.9954 9.1359 -0.5611
Tb Pr Y Er
2 2 4 1
direct
0.8527 0.7054 0.3370 Tb
0.1473 0.2946 0.6630 Tb
0.3352 0.6704 0.0024 Pr
0.6648 0.3296 0.9976 Pr
0.8145 0.6291 0.6648 Y
0.1855 0.3709 0.3352 Y
0.5195 0.0390 0.3346 Y
0.4805 0.9610 0.6654 Y
0.0000 0.0000 0.0000 Er
```

Properties
As for the symmetry: C2/m. Its density is 6.294 g/cm³. The total energy is -5.47 eV/atom.

***

Here is an optimized crystal structure of TbPrY2Er5 from Alexandria via LeMat-Bulk. Energies are from PBE.

```
TbPrY2Er5
1.0
-0.5573 2.5022 4.9868
-2.0059 -9.9216 1.6018
10.2280 -1.7422 2.0172
Tb Pr Y Er
2 2 4 10
direct
0.7984 0.5967 0.5118 Tb
0.2016 0.4033 0.0118 Tb
0.5826 0.1652 0.9530 Pr
0.4174 0.8348 0.4530 Pr
0.8868 0.7735 0.8203 Y
0.1106 0.2213 0.7337 Y
0.1132 0.2265 0.3203 Y
0.8894 0.7787 0.2337 Y
0.3894 0.7787 0.0222 Er
0.7178 0.4355 0.8109 Er
0.4787 0.9574 0.7361 Er
0.2982 0.5963 0.7095 Er
0.9813 0.9626 0.5264 Er
0.6106 0.2213 0.5222 Er
0.2822 0.5645 0.3109 Er
0.5213 0.0426 0.2361 Er
0.7018 0.4037 0.2095 Er
0.0187 0.0374 0.0264 Er
```

Properties
As for the symmetry: Cmc2_1. Its density is 7.470 g/cm³. The total energy is -4.86 eV/atom.

***

Total magnetization for the records above, in order: 0.00, 0.00, 0.00, 0.00, 0.00, 0.00, 0.00, 0.00, 0.00, 0.00, 0.01, 0.00, 0.00, 0.00, 0.00, 0.00, 0.00, 0.00, 0.00, 0.00 μB/cell